Record 1
Here is a relaxed PaReN crystal from Alexandria. Energies are from GGA-PBE.

a = 8.5375 Å, b = 3.9705 Å, c = 6.5049 Å
α = 90.00°, β = 90.00°, γ = 90.00°
Fractional positions:
1 Pa 0.1653 0.2500 0.0999
2 Pa 0.3347 0.7500 0.5999
3 Pa 0.6653 0.2500 0.4001
4 Pa 0.8347 0.7500 0.9001
5 Re 0.0449 0.2500 0.5881
6 Re 0.4551 0.7500 0.0881
7 Re 0.5449 0.2500 0.9119
8 Re 0.9551 0.7500 0.4119
9 N 0.0400 0.7500 0.1262
10 N 0.4600 0.2500 0.6262
11 N 0.5400 0.7500 0.3738
12 N 0.9600 0.2500 0.8738

## Properties
Relative energy among the computed polymorphs   0.000 eV/atom
V   220.5 Å³/cell
Space group   Pnma (62)
Raw formation energy   -13.3 kcal/mol of atoms
DOS at the Fermi energy   12.83 states/eV/cell
Size of the total moment   0.00 μB per formula unit

---

Record 2
Here is a relaxed TaZn2SbC crystal from Alexandria. Energies are from GGA-PBE.

a = 4.2888 Å, b = 4.2888 Å, c = 4.3795 Å
α = 90.00°, β = 90.00°, γ = 90.00°
Fractional positions:
1 Ta 0.0000 0.0000 0.0000
2 Zn 0.0000 0.5000 0.5000
3 Zn 0.5000 0.0000 0.5000
4 Sb 0.5000 0.5000 0.0000
5 C 0.0000 0.0000 0.5000

## Properties
V   80.6 Å³/cell
Space group   P4/mmm (123)
Raw formation energy   10.6 kcal/mol of atoms
DOS at the Fermi energy   3.31 states/eV/cell
Size of the total moment   0.00 μB per formula unit

---

Record 3
Here is a relaxed RbHfMg6O7 crystal from Alexandria. Energies are from GGA-PBE.

a = 4.1733 Å, b = 4.1733 Å, c = 12.6184 Å
α = 90.00°, β = 90.00°, γ = 90.00°
Fractional positions:
1 Rb 0.0000 0.0000 0.0000
2 Hf 0.5000 0.5000 0.8197
3 Mg 0.0000 0.0000 0.4598
4 Mg 0.0000 0.5000 0.2857
5 Mg 0.0000 0.5000 0.6401
6 Mg 0.5000 0.0000 0.2857
7 Mg 0.5000 0.0000 0.6401
8 Mg 0.5000 0.5000 0.4653
9 O 0.0000 0.0000 0.2853
10 O 0.0000 0.0000 0.6207
11 O 0.0000 0.5000 0.4575
12 O 0.0000 0.5000 0.8118
13 O 0.5000 0.0000 0.4575
14 O 0.5000 0.0000 0.8118
15 O 0.5000 0.5000 0.6450

## Properties
Relative energy among the computed polymorphs   0.000 eV/atom
V   219.8 Å³/cell
Space group   P4mm (99)
Raw formation energy   -52.6 kcal/mol of atoms
DOS at the Fermi energy   1.09 states/eV/cell
Size of the total moment   0.83 μB per formula unit

---

Record 4
Here is a relaxed BaAcTlI6 crystal from Alexandria. Energies are from GGA-PBE.

a = 8.0449 Å, b = 8.0449 Å, c = 15.4716 Å
α = 90.00°, β = 90.00°, γ = 90.00°
Fractional positions:
1 Ba 0.0000 0.0000 0.0000
2 Ba 0.5000 0.5000 0.5000
3 Ac 0.0000 0.0000 0.6650
4 Ac 0.5000 0.5000 0.1650
5 Tl 0.0000 0.0000 0.3318
6 Tl 0.5000 0.5000 0.8318
7 I 0.1904 0.1904 0.8239
8 I 0.1939 0.1939 0.5083
9 I 0.2108 0.2108 0.1632
10 I 0.2892 0.7108 0.6632
11 I 0.3061 0.6939 0.0083
12 I 0.3096 0.6904 0.3239
13 I 0.6904 0.3096 0.3239
14 I 0.6939 0.3061 0.0083
15 I 0.7108 0.2892 0.6632
16 I 0.7892 0.7892 0.1632
17 I 0.8061 0.8061 0.5083
18 I 0.8096 0.8096 0.8239

## Properties
V   1001.3 Å³/cell
Space group   P4_2nm (102)
Raw formation energy   -32.4 kcal/mol of atoms
DOS at the Fermi energy   0.00 states/eV/cell
Size of the total moment   0.00 μB per formula unit

---

Record 5
Here is a relaxed Pm3ScTl3S8 crystal from Alexandria. Energies are from GGA-PBE.

a = 8.1320 Å, b = 8.1320 Å, c = 8.7099 Å
α = 117.87°, β = 117.87°, γ = 60.01°
Fractional positions:
1 Pm 0.0000 0.0000 0.0000
2 Pm 0.0000 0.5000 0.0000
3 Pm 0.5000 0.0000 0.0000
4 Sc 0.5000 0.5000 0.0000
5 Tl 0.0000 0.5000 0.5000
6 Tl 0.5000 0.0000 0.5000
7 Tl 0.5000 0.5000 0.5000
8 S 0.2365 0.2365 0.2094
9 S 0.2538 0.7222 0.1982
10 S 0.2779 0.2779 0.8019
11 S 0.2778 0.7462 0.8018
12 S 0.7222 0.2538 0.1982
13 S 0.7221 0.7221 0.1981
14 S 0.7462 0.2778 0.8018
15 S 0.7635 0.7635 0.7906

## Properties
V   419.9 Å³/cell
Space group   C2/m (12)
Raw formation energy   -33.1 kcal/mol of atoms
DOS at the Fermi energy   5.89 states/eV/cell
Size of the total moment   0.00 μB per formula unit

---

Record 6
Here is a relaxed Er4TlHg2Au crystal from Alexandria. Energies are from GGA-PBE.

a = 8.9912 Å, b = 8.9912 Å, c = 8.9912 Å
α = 33.71°, β = 33.71°, γ = 33.71°
Fractional positions:
1 Er 0.1194 0.1194 0.1194
2 Er 0.3703 0.3703 0.3703
3 Er 0.6297 0.6297 0.6297
4 Er 0.8806 0.8806 0.8806
5 Tl 0.5000 0.5000 0.5000
6 Hg 0.2467 0.2467 0.2467
7 Hg 0.7533 0.7533 0.7533
8 Au 0.0000 0.0000 0.0000

## Properties
V   199.4 Å³/cell
Space group   R-3m (166)
VASP energy   -28.766 eV per cell
DOS at the Fermi energy   5.20 states/eV/cell
Size of the total moment   0.00 μB per formula unit

---

Record 7
Here is a relaxed PuCdH2F8 crystal from Alexandria. Energies are from GGA-PBE.

a = 3.8321 Å, b = 5.4263 Å, c = 8.0557 Å
α = 99.99°, β = 90.02°, γ = 110.53°
Fractional positions:
1 Pu 0.0000 0.0000 0.0000
2 Cd 0.0000 0.0000 0.5000
3 H 0.2577 0.5155 0.3590
4 H 0.7423 0.4845 0.6410
5 F 0.0991 0.1996 0.7926
6 F 0.1502 0.3028 0.2948
7 F 0.3686 0.7358 0.4434
8 F 0.3798 0.7580 0.9467
9 F 0.6202 0.2420 0.0533
10 F 0.6314 0.2642 0.5566
11 F 0.8498 0.6972 0.7052
12 F 0.9009 0.8004 0.2074

## Properties
V   154.2 Å³/cell
Space group   P-1 (2)
VASP energy   -66.707 eV per cell
DOS at the Fermi energy   6.16 states/eV/cell
Size of the total moment   4.00 μB per formula unit

---

Record 8
Here is a relaxed Li3PbAu crystal from Alexandria. Energies are from GGA-PBE.

a = 6.0259 Å, b = 4.5000 Å, c = 6.9154 Å
α = 90.00°, β = 98.72°, γ = 90.00°
Fractional positions:
1 Li 0.1354 0.2500 0.0303
2 Li 0.2345 0.7500 0.7282
3 Li 0.3003 0.2500 0.4391
4 Li 0.6997 0.7500 0.5609
5 Li 0.7655 0.2500 0.2718
6 Li 0.8646 0.7500 0.9697
7 Pb 0.4384 0.7500 0.1663
8 Pb 0.5616 0.2500 0.8337
9 Au 0.0279 0.7500 0.3522
10 Au 0.9721 0.2500 0.6478

## Properties
Relative energy among the computed polymorphs   0.000 eV/atom
V   185.4 Å³/cell
Space group   P2_1/m (11)
DOS at the Fermi energy   2.29 states/eV/cell
Size of the total moment   0.00 μB per formula unit

---

Record 9
Here is a relaxed Fe2CoRh2 crystal from Alexandria. Energies are from GGA-PBE.

a = 5.9657 Å, b = 5.9657 Å, c = 3.7689 Å
α = 90.00°, β = 90.00°, γ = 90.00°
Fractional positions:
1 Fe 0.1381 0.3619 0.0000
2 Fe 0.3619 0.8619 0.0000
3 Fe 0.6381 0.1381 0.0000
4 Fe 0.8619 0.6381 0.0000
5 Co 0.0000 0.0000 0.0000
6 Co 0.5000 0.5000 0.0000
7 Rh 0.1690 0.6690 0.5000
8 Rh 0.3310 0.1690 0.5000
9 Rh 0.6690 0.8310 0.5000
10 Rh 0.8310 0.3310 0.5000

## Properties
Relative energy among the computed polymorphs   0.036 eV/atom
V   134.1 Å³/cell
Space group   P4/mbm (127)
DOS at the Fermi energy   12.01 states/eV/cell
Size of the total moment   8.44 μB per formula unit

---

Record 10
Here is a relaxed SrCuSi2 crystal from Alexandria. Energies are from GGA-PBE.

a = 4.8227 Å, b = 4.8227 Å, c = 4.8227 Å
α = 60.00°, β = 60.00°, γ = 60.00°
Fractional positions:
1 Sr 0.0000 0.0000 0.0000
2 Cu 0.5000 0.5000 0.5000
3 Si 0.2500 0.2500 0.2500
4 Si 0.7500 0.7500 0.7500

## Properties
V   79.3 Å³/cell
Space group   Fm-3m (225)
Raw formation energy   7.5 kcal/mol of atoms
DOS at the Fermi energy   1.92 states/eV/cell
Size of the total moment   0.00 μB per formula unit

---

Which value of size of the total moment does entry 8 give?
0.00 μB per formula unit

---

Which formula does entry 1 have?
PaReN

---

The lowest DOS at the Fermi energy belongs to which entry?
BaAcTlI6